Record 1
Density functional theory data (GGA-PBE) for an optimized crystal structure of SrSc2InS.

Unit cell a=5.4717 b=5.4717 c=5.7596 alpha=90.00 beta=90.00 gamma=90.00
Closest atoms and distances in Å follow each position.
Space group P4/mmm (No. 123)
Symmetry-distinct sites (fractional):
Sr 0.0000 0.0000 0.0000 (multiplicity 1)  4 Sc 2.74, 2 In 2.88
Sc 0.0000 0.5000 0.0000 (multiplicity 2)  2 Sr 2.74
In 0.0000 0.0000 0.5000 (multiplicity 1)  2 Sr 2.88
S 0.5000 0.5000 0.5000 (multiplicity 1)  4 In 3.87, 8 Sc 3.97

formation energy without anion corrections: 1.3681 eV/atom


Record 2
Density functional theory data (GGA-PBE) for an optimized crystal structure of Sc3Tl3InS8.

Unit cell a=7.6297 b=7.6297 c=21.8583 alpha=90.00 beta=90.00 gamma=120.00
Closest atoms and distances in Å follow each position.
Space group R-3m (No. 166, hexagonal axes)
Symmetry-distinct sites (fractional):
Sc 0.0000 0.5000 0.0000 (multiplicity 9)  6 S 2.60-2.61
Tl 0.0000 0.5000 0.5000 (multiplicity 9)  6 S 3.14-3.15
In 0.0000 0.0000 0.0000 (multiplicity 3)  6 S 2.66
S 0.0000 0.0000 0.2692 (multiplicity 6)  3 Sc 2.61
S 0.0068 0.5034 0.2685 (multiplicity 18)  2 Sc 2.60, 1 In 2.66

formation energy without anion corrections: -1.1397 eV/atom


Record 3
Density functional theory data (GGA-PBE) for an optimized crystal structure of Sc2Tl3InS6.

Unit cell a=6.6627 b=11.5395 c=7.8232 alpha=90.00 beta=106.48 gamma=90.00
Closest atoms and distances in Å follow each position.
Space group C2/m (No. 12)
Symmetry-distinct sites (fractional):
Sc 0.0000 0.1668 0.0000 (multiplicity 4)  6 S 2.62-2.63
Tl 0.0000 0.0000 0.5000 (multiplicity 2)  6 S 3.19-3.23
Tl 0.0000 0.3340 0.5000 (multiplicity 4)  6 S 3.19-3.23
In 0.0000 0.5000 0.0000 (multiplicity 2)  6 S 2.67
S 0.2246 0.0000 0.1898 (multiplicity 4)  2 Sc 2.62, 1 In 2.67
S 0.2328 0.3306 0.1904 (multiplicity 8)  2 Sc 2.62-2.63, 1 In 2.67

formation energy without anion corrections: -1.0634 eV/atom


Record 4
Density functional theory data (GGA-PBE) for an optimized crystal structure of Sc2Tl2InS6.

Unit cell a=6.5878 b=11.5185 c=7.5305 alpha=90.00 beta=107.25 gamma=90.00
Closest atoms and distances in Å follow each position.
Space group C2/m (No. 12)
Symmetry-distinct sites (fractional):
Sc 0.0000 0.1698 0.0000 (multiplicity 4)  6 S 2.58-2.63
Tl 0.0000 0.3343 0.5000 (multiplicity 4)  6 S 3.04-3.12
In 0.0000 0.5000 0.0000 (multiplicity 2)  6 S 2.61-2.69
S 0.2299 0.0000 0.1923 (multiplicity 4)  1 In 2.61, 2 Sc 2.63
S 0.2374 0.3281 0.2003 (multiplicity 8)  2 Sc 2.58-2.61, 1 In 2.69

formation energy without anion corrections: -1.0588 eV/atom


Record 5
Density functional theory data (GGA-PBE) for an optimized crystal structure of ScVIn2S.

Unit cell a=5.2143 b=5.2143 c=4.6473 alpha=90.00 beta=90.00 gamma=90.00
Closest atoms and distances in Å follow each position.
Space group P4/mmm (No. 123)
Symmetry-distinct sites (fractional):
Sc 0.0000 0.0000 0.0000 (multiplicity 1)  2 V 2.32
V 0.0000 0.0000 0.5000 (multiplicity 1)  2 Sc 2.32
In 0.0000 0.5000 0.5000 (multiplicity 2)  2 V 2.61
S 0.5000 0.5000 0.0000 (multiplicity 1)  8 In 3.49, 4 Sc 3.69

formation energy without anion corrections: 0.5243 eV/atom


Record 6
Density functional theory data (GGA-PBE) for an optimized crystal structure of Y2ScInS6.

Unit cell a=6.7659 b=6.7659 c=18.0143 alpha=90.00 beta=90.00 gamma=120.00
Closest atoms and distances in Å follow each position.
Space group R3 (No. 146, hexagonal axes)
Symmetry-distinct sites (fractional):
Y 0.0000 0.0000 0.0000 (multiplicity 3)  6 S 2.71-2.79
Y 0.0000 0.0000 0.4944 (multiplicity 3)  6 S 2.73-2.76
Sc 0.0000 0.0000 0.7972 (multiplicity 3)  6 S 2.56-2.66
In 0.0000 0.0000 0.2917 (multiplicity 3)  6 S 2.59-2.77
S 0.0142 0.3743 0.0603 (multiplicity 9)  1 Sc 2.56, 2 Y 2.71-2.76, 1 In 2.77
S 0.0150 0.7096 0.8933 (multiplicity 9)  1 In 2.59, 1 Sc 2.66, 2 Y 2.73-2.79

formation energy without anion corrections: -1.6075 eV/atom